[1]
This record from Alexandria via LeMat-Bulk describes a geometry-optimized PrSeCl structure. The functional is PBE-GGA.

abc: 7.5035 13.9554 5.3715
angles: 90.00 133.98 90.00
Space group C2/m (No. 12)
Unique sites:
Pr: 0.0000 0.1581 0.0000
Se: 0.0000 0.2511 0.5000
Cl: 0.2290 0.0000 0.9984

Theoretical density (Mg/m³): 4.2
Formation energy from raw total energies (eV per atom): -2.04
Polymorph energy (0 for the lowest one) (kJ/mol of formula units): 0.0
Magnetization (μB per formula unit): 0.00

[2]
This record from Alexandria via LeMat-Bulk describes a geometry-optimized Pr4Se4Cl3 structure. The functional is PBE-GGA.

abc: 4.1596 8.1649 17.9769
angles: 90.00 90.00 90.00
Space group Immm (No. 71)
Unique sites:
Pr: 0.0000 0.0000 0.2284
Pr: 0.0000 0.2187 0.5000
Se: 0.0000 0.2824 0.3369
Cl: 0.0000 0.0000 0.0000
Cl: 0.0000 0.5000 0.0801

Theoretical density (Mg/m³): 5.4
Formation energy from raw total energies (eV per atom): -1.81
Magnetization (μB per formula unit): 0.00

[3]
This record from Alexandria via LeMat-Bulk describes a geometry-optimized Pr3Se2Cl2 structure. The functional is PBE-GGA.

abc: 4.1589 7.2485 7.4119
angles: 103.60 90.00 106.65
Space group P-1 (No. 2)
Unique sites:
Pr: 0.0000 0.0000 0.0000
Pr: 0.2463 0.4909 0.7837
Se: 0.3920 0.7850 0.1600
Cl: 0.1427 0.2861 0.3689

Theoretical density (Mg/m³): 5.2
Formation energy from raw total energies (eV per atom): -1.87
Magnetization (μB per formula unit): 0.00

[4]
This record from Alexandria via LeMat-Bulk describes a geometry-optimized Pr6Se5Cl structure. The functional is PBE-GGA.

abc: 7.4482 12.7010 7.3345
angles: 90.00 109.10 90.00
Space group C2/m (No. 12)
Unique sites:
Pr: 0.2364 0.0000 0.2546
Pr: 0.2380 0.1733 0.7372
Se: 0.0000 0.0000 0.5000
Se: 0.0000 0.1692 0.0000
Se: 0.0000 0.3398 0.5000
Cl: 0.0000 0.5000 0.0000

Theoretical density (Mg/m³): 6.5
Formation energy from raw total energies (eV per atom): -1.77
Magnetization (μB per formula unit): 0.00

[5]
This record from Alexandria via LeMat-Bulk describes a geometry-optimized PrSeCl structure. The functional is PBE-GGA.

abc: 3.9133 3.9133 9.5490
angles: 90.00 90.00 90.00
Space group I4mm (No. 107)
Unique sites:
Pr: 0.0000 0.0000 0.0000
Se: 0.0000 0.0000 0.3559
Cl: 0.0000 0.0000 0.6721

Theoretical density (Mg/m³): 5.8
Formation energy from raw total energies (eV per atom): -1.75
Polymorph energy (0 for the lowest one) (kJ/mol of formula units): 84.0
Magnetization (μB per formula unit): 0.00

[6]
This record from Alexandria via LeMat-Bulk describes a geometry-optimized PrSeCl structure. The functional is PBE-GGA.

abc: 4.7208 4.7208 4.0898
angles: 90.00 90.00 120.00
Space group P3m1 (No. 156)
Unique sites:
Pr: 0.0000 0.0000 0.0000
Se: 0.6667 0.3333 0.5004
Cl: 0.3333 0.6667 0.0015

Theoretical density (Mg/m³): 5.4
Formation energy from raw total energies (eV per atom): -1.77
Polymorph energy (0 for the lowest one) (kJ/mol of formula units): 78.0
Magnetization (μB per formula unit): 0.00

[7]
This record from Alexandria via LeMat-Bulk describes a geometry-optimized PrSeCl structure. The functional is PBE-GGA.

abc: 3.9608 4.4154 10.9724
angles: 89.82 89.86 90.00
Space group P-1 (No. 2)
Unique sites:
Pr: 0.2488 0.2485 0.1769
Se: 0.2507 0.2509 0.8967
Cl: 0.2525 0.7519 0.6429

Theoretical density (Mg/m³): 4.4
Formation energy from raw total energies (eV per atom): -2.03
Polymorph energy (0 for the lowest one) (kJ/mol of formula units): 2.0
Magnetization (μB per formula unit): 0.00

[8]
This record from Alexandria via LeMat-Bulk describes a geometry-optimized Pr2Se2Cl structure. The functional is PBE-GGA.

abc: 4.1858 17.5065 7.5531
angles: 90.00 90.00 90.00
Space group Cmc2_1 (No. 36)
Unique sites:
Pr: 0.0000 0.0617 0.0000
Pr: 0.0000 0.3056 0.9850
Se: 0.0000 0.3085 0.5753
Se: 0.0000 0.4500 0.2084
Cl: 0.0000 0.0942 0.3703

Theoretical density (Mg/m³): 5.7
Formation energy from raw total energies (eV per atom): -1.84
Polymorph energy (0 for the lowest one) (kJ/mol of formula units): 41.8
Magnetization (μB per formula unit): 0.00

[9]
This record from Alexandria via LeMat-Bulk describes a geometry-optimized PrSeCl structure. The functional is PBE-GGA.

abc: 4.1201 4.1201 22.0866
angles: 90.00 90.00 90.00
Space group I-4m2 (No. 119)
Unique sites:
Pr: 0.0000 0.0000 0.1589
Se: 0.0000 0.0000 0.2993
Cl: 0.0000 0.5000 0.0712

Theoretical density (Mg/m³): 4.5
Formation energy from raw total energies (eV per atom): -2.00
Polymorph energy (0 for the lowest one) (kJ/mol of formula units): 11.9
Magnetization (μB per formula unit): 0.00

[10]
This record from Alexandria via LeMat-Bulk describes a geometry-optimized Pr3Se2Cl structure. The functional is PBE-GGA.

abc: 4.3750 5.9726 12.3923
angles: 90.00 90.00 90.00
Space group Immm (No. 71)
Unique sites:
Pr: 0.0000 0.0000 0.0000
Pr: 0.0000 0.0000 0.3203
Se: 0.0000 0.5000 0.3376
Cl: 0.0000 0.5000 0.0000

Theoretical density (Mg/m³): 6.3
Formation energy from raw total energies (eV per atom): -1.67
Polymorph energy (0 for the lowest one) (kJ/mol of formula units): 0.0
Magnetization (μB per formula unit): 0.00

[11]
This record from Alexandria via LeMat-Bulk describes a geometry-optimized Pr2SeCl structure. The functional is PBE-GGA.

abc: 4.3077 4.3077 19.7676
angles: 90.00 90.00 120.00
Space group R-3m (No. 166, hexagonal axes)
Unique sites:
Pr: 0.0000 0.0000 0.2459
Se: 0.0000 0.0000 0.5000
Cl: 0.0000 0.0000 0.0000

Theoretical density (Mg/m³): 6.2
Formation energy from raw total energies (eV per atom): -1.58
Polymorph energy (0 for the lowest one) (kJ/mol of formula units): 0.0
Magnetization (μB per formula unit): 0.00

[12]
This record from Alexandria via LeMat-Bulk describes a geometry-optimized Pr2SeCl structure. The functional is PBE-GGA.

abc: 3.9979 3.9979 23.3739
angles: 90.00 90.00 120.00
Space group R3m (No. 160, hexagonal axes)
Unique sites:
Pr: 0.0000 0.0000 0.0000
Pr: 0.0000 0.0000 0.1787
Se: 0.0000 0.0000 0.5883
Cl: 0.0000 0.0000 0.4229

Theoretical density (Mg/m³): 6.1
Formation energy from raw total energies (eV per atom): -1.55
Polymorph energy (0 for the lowest one) (kJ/mol of formula units): 11.2
Magnetization (μB per formula unit): 0.00